## Pm6Er2Tl (PBE)

Data for a geometry-optimized Pm6Er2Tl structure.

Values from the calculation:
Total magnetic moment, μB per formula unit: 0.0
ΔE_f, eV per atom: -0.01
Symmetry: C2/c

Cell lengths 11.3684, 11.3684, 6.3790 Å; angles 106.25, 106.25, 47.71 degrees
Fractional positions:
Pm1 0.0076 0.1523 0.2172
Pm2 0.0808 0.5809 0.0808
Pm3 0.1523 0.0076 0.7172
Pm4 0.3481 0.4922 0.5572
Pm5 0.4191 0.9192 0.4192
Pm6 0.4922 0.3481 0.0572
Pm7 0.5078 0.6519 0.9428
Pm8 0.5809 0.0808 0.5808
Pm9 0.6519 0.5078 0.4428
Pm10 0.8477 0.9924 0.2828
Pm11 0.9192 0.4191 0.9192
Pm12 0.9924 0.8477 0.7828
Er1 0.1728 0.3273 0.5810
Er2 0.3273 0.1728 0.0810
Er3 0.6727 0.8272 0.9190
Er4 0.8272 0.6727 0.4190
Tl1 0.2497 0.7503 0.2500
Tl2 0.7503 0.2497 0.7500